Here is an optimized crystal structure of Ca2AcNbN4 from Alexandria. Energies are from PBE.

Values from the calculation:
Calculated total energy = -60.82 eV per formula unit

Cell: 7.783 6.763 5.667 Å, 90.00 90.00 90.00°
Space group Pmn2_1 (No. 31)
One atom of each set of equivalent atoms:
Ca 0.247 0.164 0.000
Ac 0.000 0.354 0.495
Nb 0.000 0.686 0.020
N 0.000 0.393 0.962
N 0.000 0.696 0.364
N 0.216 0.820 0.921